P:
# GaTeW

A geometry-optimized GaTeW structure (PBE, OQMD).

a b c (Å): 4.5260 4.5260 4.5260
angles (deg): 60.00 60.00 60.00
Last column: nearest neighbours and their distance in Å.
Fractional positions:
1 Ga 0.0000 0.0000 0.0000  4 W 2.77
2 Te 0.5000 0.5000 0.5000  4 W 2.77
3 W 0.2500 0.2500 0.2500  4 Te 2.77, 4 Ga 2.77

Output
Density: 9654 kg/m³
Space group: F-43m, No. 216

Q:
# GaTeW

A geometry-optimized GaTeW structure (PBE, OQMD).

a b c (Å): 4.5480 4.5480 4.5480
angles (deg): 60.00 60.00 60.00
Last column: nearest neighbours and their distance in Å.
Fractional positions:
1 Ga 0.0000 0.0000 0.0000  4 Te 2.79
2 Te 0.2500 0.2500 0.2500  4 W 2.79, 4 Ga 2.79
3 W 0.5000 0.5000 0.5000  4 Te 2.79

Output
Density: 9515 kg/m³
Space group: F-43m, No. 216

Result of the stability comparison: P is the most stable of them.